Compound: DyMoAsO5
Source: Alexandria
Functional: PBE+U
Structure: optimized geometry

Calculated values
**Total energy**: -7.023 eV per atom
**Volume**: 239.6 Å³ per cell

Cell: 5.816 5.816 8.040 Å, 101.96 101.96 109.34°
Sites, in units of the cell vectors:
Dy (0.000, 0.000, 0.000)
Dy (0.000, 0.000, 0.500)
Mo (0.315, 0.685, 0.750)
Mo (0.685, 0.315, 0.250)
As (0.315, 0.685, 0.250)
As (0.685, 0.315, 0.750)
O (0.056, 0.655, 0.333)
O (0.097, 0.903, 0.750)
O (0.270, 0.422, 0.084)
O (0.345, 0.944, 0.167)
O (0.422, 0.270, 0.584)
O (0.578, 0.730, 0.416)
O (0.655, 0.056, 0.833)
O (0.730, 0.578, 0.916)
O (0.903, 0.097, 0.250)
O (0.944, 0.345, 0.667)